(1)
## PrGeSb (PBE)

Data for an optimized crystal structure of PrGeSb.

```
PrGeSb
1.0
-2.162 -0.179 -3.546
0.749 -4.366 -0.236
-7.587 0.704 4.590
Pr Ge Sb
2 2 2
Direct
0.250 0.101 0.201
0.750 0.899 0.799
0.250 0.453 0.906
0.750 0.547 0.094
0.250 0.748 0.496
0.750 0.252 0.504
```

uncorrected formation energy = -0.78 eV/atom
space group = Cmcm (63)

(2)
## Na3CuIr (PBE)

Data for an optimized crystal structure of Na3CuIr.

```
Na3CuIr
1.0
5.127 0.000 0.000
0.000 5.127 0.000
0.000 0.000 5.127
Ir Na Cu
1 3 1
Direct
0.500 0.500 0.500
0.500 0.000 0.000
0.000 0.500 0.000
0.000 0.000 0.500
0.000 0.000 0.000
```

calculated formation energy = 1.06 eV per atom
space group = Pm-3m (221)

(3)
## La4PmNd6 (PBE)

Data for an optimized crystal structure of La4PmNd6.

```
La4PmNd6
1.0
-6.696 -3.526 -6.074
2.303 -0.754 9.396
1.518 8.102 5.120
Nd La Pm
6 4 1
Direct
0.500 0.500 0.000
0.665 0.219 0.219
0.335 0.554 0.554
0.500 0.000 0.500
0.000 0.446 0.781
0.000 0.781 0.446
0.000 0.008 0.632
0.376 0.368 0.368
0.624 0.992 0.992
0.000 0.632 0.008
0.000 0.000 0.000
```

calculated formation energy = 0.26 eV per atom
space group = I-42m (121)

(4)
## ZrZnCo2 (PBE)

Data for an optimized crystal structure of ZrZnCo2.

```
ZrZnCo2
1.0
4.923 0.014 0.000
2.207 4.401 0.000
-3.565 -2.208 2.580
Co Zn Zr
2 1 1
Direct
0.000 0.000 0.000
0.250 0.750 0.500
0.500 0.500 0.000
0.750 0.250 0.500
```

calculated formation energy = -0.14 eV per atom
space group = I-4m2 (119)

Number 1: final energy -5.284 eV/atom. Number 2: final energy -2.328 eV/atom. Number 3: final energy -4.559 eV/atom. Number 4: final energy -6.153 eV/atom.